No. 1
Below is a relaxed Dy3Mg3In2Hg crystal, with properties calculated at the PBE level.

Values from the calculation:
The value obtained for the formation enthalpy at 0 K is -0.413 eV/atom.

Cell: 4.6009 7.5303 7.5303 Å, 120.00 90.00 90.00°
With the nearest neighbours (Å) after each atom.
Fractional coordinates of all 9 atoms:
In: 0.5000 0.3333 0.6667  3 Mg 2.93, 6 Dy 3.22
Dy: 0.0000 0.4203 0.0000  1 Hg 3.17, 4 In 3.22, 2 Mg 3.44
In: 0.5000 0.6667 0.3333  3 Mg 2.93, 6 Dy 3.22
Dy: 0.0000 0.5797 0.5797  1 Hg 3.17, 4 In 3.22, 2 Mg 3.44
Mg: 0.5000 0.2393 0.2393  2 Hg 2.92, 2 In 2.93, 2 Mg 3.12
Hg: 0.0000 0.0000 0.0000  6 Mg 2.92, 3 Dy 3.17
Mg: 0.5000 0.7607 0.0000  2 Hg 2.92, 2 In 2.93, 2 Mg 3.12
Dy: 0.0000 0.0000 0.4203  1 Hg 3.17, 4 In 3.22, 2 Mg 3.44
Mg: 0.5000 0.0000 0.7607  2 Hg 2.92, 2 In 2.93, 2 Mg 3.12

No. 2
Below is a relaxed NdDy2In2Hg2 crystal, with properties calculated at the PBE level.

Values from the calculation:
The value obtained for the formation enthalpy at 0 K is -0.301 eV/atom.

Cell: 4.9616 4.9616 9.4053 Å, 74.71 74.71 60.00°
With the nearest neighbours (Å) after each atom.
Fractional coordinates of all 7 atoms:
In: 0.2663 0.2663 0.2011  3 Hg 2.97
Nd: 0.0000 0.0000 0.0000  6 In 3.38, 2 Dy 3.56
In: 0.7337 0.7337 0.7989  3 Hg 2.97
Dy: 0.1324 0.1324 0.6029  3 Hg 3.02, 3 In 3.36
Hg: 0.4301 0.4301 0.7097  3 In 2.97, 3 Dy 3.02
Dy: 0.8676 0.8676 0.3971  3 Hg 3.02, 3 In 3.36
Hg: 0.5699 0.5699 0.2903  3 In 2.97, 3 Dy 3.02

Looking at total magnetic moment for the records above, in order, we have 0.0; 0.0 μB/f.u..